The following is a DFT calculation (PBE) of a relaxed Rb2AgIBr6 crystal.

a = 8.2265 Å, b = 8.2265 Å, c = 8.2265 Å
α = 119.82°, β = 119.82°, γ = 90.31°
Closest atoms and distances in Å follow each position.
Atoms (fractional coordinates):
Rb  0.2500  0.7500  0.5000  12 Br 4.13
Rb  0.7500  0.2500  0.5000  12 Br 4.13
Ag  0.0000  0.0000  0.0000  4 Br 2.55
I  0.5000  0.5000  0.0000  2 Br 2.70
Br  0.2189  0.2189  0.4378  1 Ag 2.55
Br  0.2189  0.7811  0.0000  1 Ag 2.55
Br  0.2672  0.2672  0.0000  1 I 2.70
Br  0.7328  0.7328  0.0000  1 I 2.70
Br  0.7811  0.2189  0.0000  1 Ag 2.55
Br  0.7811  0.7811  0.5622  1 Ag 2.55

Calculated values
Space group: I4/mmm
ΔE_f (raw) in eV per atom: -0.77


The following is a DFT calculation (PBE) of a relaxed Rb2AgI2Br6 crystal.

a = 8.1778 Å, b = 8.1778 Å, c = 10.2224 Å
α = 117.34°, β = 117.34°, γ = 52.78°
Closest atoms and distances in Å follow each position.
Atoms (fractional coordinates):
Rb  0.2400  0.2400  0.3051  6 Br 3.48-3.80
Rb  0.7600  0.7600  0.6949  6 Br 3.48-3.80
Ag  0.0000  0.0000  0.5000  4 Br 2.62
I  0.3906  0.3906  0.0749  1 Br 2.60
I  0.6094  0.6094  0.9251  1 Br 2.60
Br  0.1855  0.6813  0.6151  1 Ag 2.62
Br  0.2432  0.2432  0.7889  1 I 2.60
Br  0.3187  0.8145  0.3849  1 Ag 2.62
Br  0.6813  0.1855  0.6151  1 Ag 2.62
Br  0.7568  0.7568  0.2111  1 I 2.60
Br  0.8145  0.3187  0.3849  1 Ag 2.62

Calculated values
Space group: C2/m
ΔE_f (raw) in eV per atom: -0.65


The following is a DFT calculation (PBE) of a relaxed Ag6SIBr2 crystal.

a = 6.9517 Å, b = 6.9517 Å, c = 7.2138 Å
α = 112.58°, β = 112.58°, γ = 52.43°
Closest atoms and distances in Å follow each position.
Atoms (fractional coordinates):
Ag  0.1240  0.6318  0.6194  1 S 2.57
Ag  0.2751  0.2751  0.2294  1 S 2.64, 1 Br 2.79
Ag  0.3682  0.8760  0.3806  1 S 2.57
Ag  0.6318  0.1240  0.6194  1 S 2.57
Ag  0.7249  0.7249  0.7706  1 S 2.64, 1 Br 2.79
Ag  0.8760  0.3682  0.3806  1 S 2.57
S  0.5000  0.5000  0.5000  6 Ag 2.57-2.64
I  0.0000  0.0000  0.0000  6 Ag 2.93-3.11
Br  0.2568  0.2568  0.8307  5 Ag 2.79-3.10
Br  0.7432  0.7432  0.1693  5 Ag 2.79-3.10

Calculated values
Space group: C2/m
ΔE_f (raw) in eV per atom: -0.06


The following is a DFT calculation (PBE) of a relaxed Ag6SeI2Br2 crystal.

a = 7.5228 Å, b = 7.5228 Å, c = 7.4966 Å
α = 108.05°, β = 108.05°, γ = 111.20°
Closest atoms and distances in Å follow each position.
Atoms (fractional coordinates):
Ag  0.0778  0.4100  0.6532  1 Se 2.69, 1 Br 2.82, 2 I 2.92-2.98
Ag  0.1201  0.1201  0.2346  1 Se 2.69, 2 Br 2.91, 1 Ag 2.94
Ag  0.4100  0.0778  0.6532  1 Se 2.69, 1 Br 2.82, 2 I 2.92-2.98
Ag  0.5900  0.9222  0.3468  1 Se 2.69, 1 Br 2.82, 2 I 2.92-2.98
Ag  0.8799  0.8799  0.7654  1 Se 2.69, 2 Br 2.91, 1 Ag 2.94
Ag  0.9222  0.5900  0.3468  1 Se 2.69, 1 Br 2.82, 2 I 2.92-2.98
Se  0.0000  0.0000  0.5000  6 Ag 2.69
I  0.3558  0.6442  0.5000  6 Ag 2.92-3.25
I  0.6442  0.3558  0.5000  6 Ag 2.92-3.25
Br  0.2020  0.7980  0.0000  4 Ag 2.82-2.91
Br  0.7980  0.2020  0.0000  4 Ag 2.82-2.91

Calculated values
Space group: C2/m
ΔE_f (raw) in eV per atom: -0.10


The following is a DFT calculation (PBE) of a relaxed Ag6SeIBr2 crystal.

a = 7.1328 Å, b = 7.1328 Å, c = 7.2673 Å
α = 112.95°, β = 112.95°, γ = 51.03°
Closest atoms and distances in Å follow each position.
Atoms (fractional coordinates):
Ag  0.1200  0.6260  0.6232  1 Se 2.68, 2 Ag 2.89-2.96, 1 I 2.93, 1 Br 2.99
Ag  0.2724  0.2724  0.2267  1 Se 2.74, 1 Br 2.78, 4 Ag 2.96-3.03
Ag  0.3740  0.8800  0.3768  1 Se 2.68, 2 Ag 2.89-2.96, 1 I 2.93, 1 Br 2.99
Ag  0.6260  0.1200  0.6232  1 Se 2.68, 2 Ag 2.89-2.96, 1 I 2.93, 1 Br 2.99
Ag  0.7276  0.7276  0.7733  1 Se 2.74, 1 Br 2.78, 4 Ag 2.96-3.03
Ag  0.8800  0.3740  0.3768  1 Se 2.68, 2 Ag 2.89-2.96, 1 I 2.93, 1 Br 2.99
Se  0.5000  0.5000  0.5000  6 Ag 2.68-2.74
I  0.0000  0.0000  0.0000  6 Ag 2.93-3.17
Br  0.2565  0.2565  0.8330  5 Ag 2.78-3.10
Br  0.7435  0.7435  0.1670  5 Ag 2.78-3.10

Calculated values
Space group: C2/m
ΔE_f (raw) in eV per atom: -0.07


The following is a DFT calculation (PBE) of a relaxed SiAgI2Br crystal.

a = 5.7144 Å, b = 5.7144 Å, c = 5.1803 Å
α = 90.00°, β = 90.00°, γ = 90.00°
Closest atoms and distances in Å follow each position.
Atoms (fractional coordinates):
Si  0.0000  0.0000  0.0000  8 I 3.86, 4 Br 4.04
Ag  0.5000  0.5000  0.5000  2 Br 2.59, 4 I 2.86
I  0.0000  0.5000  0.5000  2 Ag 2.86
I  0.5000  0.0000  0.5000  2 Ag 2.86
Br  0.5000  0.5000  0.0000  2 Ag 2.59

Calculated values
Space group: P4/mmm
ΔE_f (raw) in eV per atom: 0.49


The following is a DFT calculation (PBE) of a relaxed AgSn2IBr4 crystal.

a = 14.2976 Å, b = 4.2054 Å, c = 10.6143 Å
α = 90.00°, β = 121.28°, γ = 90.00°
Closest atoms and distances in Å follow each position.
Atoms (fractional coordinates):
Ag  0.0000  0.0000  0.0000  2 Br 2.68
Ag  0.5000  0.5000  0.0000  2 Br 2.68
Sn  0.1815  0.0000  0.7596  5 Br 3.00-3.15
Sn  0.3185  0.5000  0.2404  5 Br 3.00-3.15
Sn  0.6815  0.5000  0.7596  5 Br 3.00-3.15
Sn  0.8185  0.0000  0.2404  5 Br 3.00-3.15
I  0.0000  0.5000  0.5000  4 Sn 3.36
I  0.5000  0.0000  0.5000  4 Sn 3.36
Br  0.1207  0.5000  0.9263  3 Sn 3.05-3.15, 2 Ag 3.07
Br  0.1813  0.0000  0.2686  1 Ag 2.68, 2 Sn 3.00
Br  0.3187  0.5000  0.7314  1 Ag 2.68, 2 Sn 3.00
Br  0.3793  0.0000  0.0737  3 Sn 3.05-3.15, 2 Ag 3.07
Br  0.6207  0.0000  0.9263  3 Sn 3.05-3.15, 2 Ag 3.07
Br  0.6813  0.5000  0.2686  1 Ag 2.68, 2 Sn 3.00
Br  0.8187  0.0000  0.7314  1 Ag 2.68, 2 Sn 3.00
Br  0.8793  0.5000  0.0737  3 Sn 3.05-3.15, 2 Ag 3.07

Calculated values
Space group: C2/m
ΔE_f (raw) in eV per atom: -0.58


The following is a DFT calculation (PBE) of a relaxed SrAgIBr2 crystal.

a = 8.5767 Å, b = 4.7971 Å, c = 9.8806 Å
α = 90.00°, β = 96.43°, γ = 90.00°
Closest atoms and distances in Å follow each position.
Atoms (fractional coordinates):
Sr  0.2434  0.2500  0.4374  4 Br 3.14-3.36, 3 I 3.32-3.34
Sr  0.7566  0.7500  0.5626  4 Br 3.14-3.36, 3 I 3.32-3.34
Ag  0.0567  0.7500  0.0739  4 Br 2.76-2.79, 2 Ag 2.92
Ag  0.9433  0.2500  0.9261  4 Br 2.76-2.79, 2 Ag 2.92
I  0.3927  0.7500  0.6481  3 Sr 3.32-3.34
I  0.6073  0.2500  0.3519  3 Sr 3.32-3.34
Br  0.0184  0.7500  0.3508  1 Ag 2.79
Br  0.2214  0.2500  0.0954  3 Ag 2.76-2.78
Br  0.7786  0.7500  0.9046  3 Ag 2.76-2.78
Br  0.9816  0.2500  0.6492  1 Ag 2.79

Calculated values
Space group: P2_1/m
ΔE_f (raw) in eV per atom: -1.26